# Tb3Ho2Er | Alexandria | PBE-GGA | optimized geometry
data_Tb3Ho2Er
_symmetry_space_group_name_H-M 'C m c m'
_symmetry_Int_Tables_number 63
_symmetry_space_group_name_Hall '-C 2c 2'
_cell_length_a 10.630
_cell_length_b 6.137
_cell_length_c 11.420
_cell_angle_alpha 90.00
_cell_angle_beta 90.00
_cell_angle_gamma 90.00
loop_
_atom_site_label
_atom_site_fract_x
_atom_site_fract_y
_atom_site_fract_z
_atom_site_occupancy
Tb1 0.000 0.000 0.000 1
Tb2 0.166 0.500 0.000 1
Ho1 0.167 0.167 0.250 1
Er1 0.000 0.333 0.750 1
# Electronic total energy in eV per atom: -4.60
# Formation enthalpy at 0 K in eV per formula unit: 0.0
# M_tot in μB/atom: 0.0000
# Density of states at the Fermi level in states/eV/cell: 29.17
# Volume in Å³/cell: 745.05

---

# LiHoMg2S4 | Alexandria | PBE-GGA | optimized geometry
data_LiHoMg2S4
_symmetry_space_group_name_H-M 'P 1 2/m 1'
_symmetry_Int_Tables_number 10
_symmetry_space_group_name_Hall '-P 2y'
_cell_length_a 6.456
_cell_length_b 3.814
_cell_length_c 6.501
_cell_angle_alpha 90.00
_cell_angle_beta 108.47
_cell_angle_gamma 90.00
loop_
_atom_site_label
_atom_site_fract_x
_atom_site_fract_y
_atom_site_fract_z
_atom_site_occupancy
Li1 0.000 0.000 0.000 1
Ho1 0.500 0.500 0.000 1
Mg1 0.000 0.500 0.500 1
Mg2 0.500 0.000 0.500 1
S1 0.243 0.000 0.745 1
S2 0.254 0.500 0.265 1
# Electronic total energy in eV per atom: -4.89
# M_tot in μB/atom: 0.0000
# Density of states at the Fermi level in states/eV/cell: 0.00
# Volume in Å³/cell: 151.79

---

# ZrZn2Tc | Alexandria | PBE-GGA | optimized geometry
data_ZrZn2Tc
_symmetry_space_group_name_H-M 'C m m 2'
_symmetry_Int_Tables_number 35
_symmetry_space_group_name_Hall 'C 2 -2'
_cell_length_a 3.393
_cell_length_b 4.629
_cell_length_c 8.538
_cell_angle_alpha 90.00
_cell_angle_beta 90.00
_cell_angle_gamma 90.00
loop_
_atom_site_label
_atom_site_fract_x
_atom_site_fract_y
_atom_site_fract_z
_atom_site_occupancy
Zr1 0.000 0.000 0.000 1
Zn1 0.000 0.000 0.513 1
Zn2 0.000 0.500 0.276 1
Tc1 0.000 0.500 0.748 1
# Electronic total energy in eV per atom: -5.34
# Formation enthalpy at 0 K in eV per formula unit: 0.1
# Distance to the lowest polymorph of the same formula in meV/atom: 248
# M_tot in μB/atom: 0.0000
# Density of states at the Fermi level in states/eV/cell: 4.87
# Volume in Å³/cell: 134.11

---

# LiHoBi2O5 | Alexandria | PBE-GGA | optimized geometry
data_LiHoBi2O5
_symmetry_space_group_name_H-M 'C m c 21'
_symmetry_Int_Tables_number 36
_symmetry_space_group_name_Hall 'C 2c -2'
_cell_length_a 3.432
_cell_length_b 14.575
_cell_length_c 10.660
_cell_angle_alpha 90.00
_cell_angle_beta 90.00
_cell_angle_gamma 90.00
loop_
_atom_site_label
_atom_site_fract_x
_atom_site_fract_y
_atom_site_fract_z
_atom_site_occupancy
Li1 0.000 0.004 0.000 1
Ho1 0.000 0.293 0.493 1
Bi1 0.000 0.362 0.192 1
Bi2 0.000 0.398 0.764 1
O1 0.000 0.009 0.304 1
O2 0.000 0.139 0.549 1
O3 0.000 0.198 0.859 1
O4 0.000 0.216 0.142 1
O5 0.000 0.438 0.569 1
# Electronic total energy in eV per atom: -6.28
# M_tot in μB/atom: 0.0000
# Density of states at the Fermi level in states/eV/cell: 0.00
# Volume in Å³/cell: 533.28

---

# Hf2NiAg2S6 | Alexandria | PBE-GGA | optimized geometry
data_Hf2NiAg2S6
_symmetry_space_group_name_H-M 'C 1 2/m 1'
_symmetry_Int_Tables_number 12
_symmetry_space_group_name_Hall '-C 2y'
_cell_length_a 6.237
_cell_length_b 10.798
_cell_length_c 6.507
_cell_angle_alpha 90.00
_cell_angle_beta 90.21
_cell_angle_gamma 90.00
loop_
_atom_site_label
_atom_site_fract_x
_atom_site_fract_y
_atom_site_fract_z
_atom_site_occupancy
Hf1 0.000 0.167 0.000 1
Ni1 0.000 0.500 0.000 1
Ag1 0.000 0.168 0.500 1
S1 0.160 0.339 0.780 1
S2 0.177 0.000 0.780 1
# Electronic total energy in eV per atom: -5.95
# M_tot in μB/atom: 0.1835
# Volume in Å³/cell: 438.19

---

# Ba6IrAu2I3 | Alexandria | PBE-GGA | optimized geometry
data_Ba6IrAu2I3
_symmetry_space_group_name_H-M 'C 1 2/m 1'
_symmetry_Int_Tables_number 12
_symmetry_space_group_name_Hall '-C 2y'
_cell_length_a 8.163
_cell_length_b 14.125
_cell_length_c 9.148
_cell_angle_alpha 90.00
_cell_angle_beta 107.28
_cell_angle_gamma 90.00
loop_
_atom_site_label
_atom_site_fract_x
_atom_site_fract_y
_atom_site_fract_z
_atom_site_occupancy
Ba1 0.223 0.155 0.204 1
Ba2 0.242 0.000 0.795 1
Ir1 0.000 0.000 0.000 1
Au1 0.000 0.334 0.000 1
I1 0.000 0.168 0.500 1
I2 0.000 0.500 0.500 1
# Electronic total energy in eV per atom: -3.62
# M_tot in μB/atom: 0.0000
# Density of states at the Fermi level in states/eV/cell: 19.03
# Volume in Å³/cell: 1007.19

---

# Sb2OsPb | Alexandria | PBE-GGA | optimized geometry
data_Sb2OsPb
_symmetry_space_group_name_H-M 'R 3 m'
_symmetry_Int_Tables_number 160
_symmetry_space_group_name_Hall 'R 3 -2"'
_cell_length_a 3.3650
_cell_length_b 3.3650
_cell_length_c 29.4345
_cell_angle_alpha 90.00
_cell_angle_beta 90.00
_cell_angle_gamma 120.00
loop_
_atom_site_label
_atom_site_fract_x
_atom_site_fract_y
_atom_site_fract_z
_atom_site_occupancy
Sb1 0.0000 0.0000 0.0000 1
Sb2 0.0000 0.0000 0.2332 1
Os1 0.0000 0.0000 0.5044 1
Pb1 0.0000 0.0000 0.7631 1
# Electronic total energy in eV per atom: -5.34
# M_tot in μB/atom: 0.0000
# Density of states at the Fermi level in states/eV/cell: 8.17
# Volume in Å³/cell: 288.64

---

# Mg4Cu2H | Alexandria | PBE-GGA | optimized geometry
data_Mg4Cu2H
_symmetry_space_group_name_H-M 'I 4/m m m'
_symmetry_Int_Tables_number 139
_symmetry_space_group_name_Hall '-I 4 2'
_cell_length_a 3.995
_cell_length_b 3.995
_cell_length_c 14.412
_cell_angle_alpha 90.00
_cell_angle_beta 90.00
_cell_angle_gamma 90.00
loop_
_atom_site_label
_atom_site_fract_x
_atom_site_fract_y
_atom_site_fract_z
_atom_site_occupancy
Mg1 0.000 0.000 0.183 1
Mg2 0.000 0.500 0.000 1
Cu1 0.000 0.000 0.370 1
H1 0.000 0.000 0.000 1
# Electronic total energy in eV per atom: -2.50
# M_tot in μB/atom: 0.0000
# Density of states at the Fermi level in states/eV/cell: 6.51
# Volume in Å³/cell: 229.98